Entry 1:
Dy2C | meta-GGA SCAN | PBEsol geometry

Structure (POSCAR):
```
Dy2C
1.0
1.767 1.020 6.098
-1.767 1.020 6.098
0.000 -2.041 6.098
Dy C
2 1
Direct
0.240 0.240 0.240
0.760 0.760 0.760
0.500 0.500 0.500
```

Computed properties:
Total magnetization in μB per cell: 0.42
SG: No. 166
E_form in eV per atom: -0.41
V in A^3/atom: 21.99

Entry 2:
Ga3PbSe | meta-GGA SCAN | PBEsol geometry

Structure (POSCAR):
```
Ga3PbSe
1.0
5.309 0.000 0.000
0.000 5.309 0.000
0.000 0.000 5.309
Ga Pb Se
3 1 1
Direct
0.000 0.000 0.500
0.000 0.500 0.000
0.500 0.000 0.000
0.000 0.000 0.000
0.500 0.500 0.500
```

Computed properties:
Total magnetization in μB per cell: 0.00
Uncorrected formation energy in eV per formula unit: 2.9
SG: No. 221
V in A^3/atom: 29.93